{
  "formula": "In3Cl",
  "functional": "PBE",
  "state": "relaxed",
  "formation_energy_uncorrected_kj_per_mol_fu": -97,
  "polymorph_energy_ev_per_atom": 0.038,
  "lattice_angstrom": [[-1.992, -3.342, 5.211], [1.426, -6.320, 0.554], [2.083, 6.139, -0.514]],
  "species": ["Cl", "In", "In", "In"],
  "fractional_positions": [[0.500, 0.000, 0.500], [0.000, 0.500, 0.500], [0.752, 0.752, 0.000], [0.248, 0.248, 0.000]]
}

{
  "formula": "InCl3",
  "functional": "PBE",
  "state": "relaxed",
  "formation_energy_uncorrected_kj_per_mol_fu": -382,
  "lattice_angstrom": [[6.723, 0.004, 0.029], [2.458, 6.257, -0.029], [-3.353, -4.944, 3.083]],
  "species": ["In", "Cl", "Cl", "Cl"],
  "fractional_positions": [[0.458, 0.750, 0.708], [0.165, 0.100, 0.065], [0.744, 0.250, 0.494], [0.466, 0.400, 0.065]]
}

{
  "formula": "InCl",
  "functional": "PBE",
  "state": "relaxed",
  "formation_energy_uncorrected_kj_per_mol_fu": -139,
  "lattice_angstrom": [[-4.938, -3.570, 6.209], [7.144, -2.996, 3.959], [0.513, 7.346, 4.632]],
  "species": ["In", "Cl", "In", "Cl", "In", "In", "Cl", "Cl", "In", "Cl", "Cl", "In"],
  "fractional_positions": [[0.500, 0.000, 0.750], [0.000, 0.500, 0.750], [0.000, 0.750, 0.500], [0.750, 0.000, 0.500], [0.500, 0.000, 0.250], [0.000, 0.250, 0.500], [0.250, 0.000, 0.500], [0.000, 0.500, 0.250], [0.750, 0.500, 0.000], [0.500, 0.750, 0.000], [0.500, 0.250, 0.000], [0.250, 0.500, 0.000]]
}

{
  "formula": "InCl3",
  "functional": "PBE",
  "state": "relaxed",
  "formation_energy_uncorrected_kj_per_mol_fu": -80,
  "lattice_angstrom": [[-0.859, 4.303, 2.686], [-2.950, -3.809, 1.805], [4.962, -1.316, 0.342]],
  "species": ["Cl", "Cl", "In", "Cl"],
  "fractional_positions": [[0.500, 0.500, 0.000], [0.500, 0.000, 0.500], [0.000, 0.500, 0.500], [0.000, 0.000, 0.000]]
}